1.
Material: Fe2OsRh
Method: DFT, PBE
State: optimized geometry

Cell: 2.635 2.635 8.636 Å, 90.00 90.00 116.39°
Each line ends with the local moment (μB).
Element x y z (fractional)
Fe1 0.000 0.000 0.010  2.74
Fe2 0.500 0.500 0.241  2.54
Os1 0.000 0.000 0.488  0.09
Rh1 0.500 0.500 0.761  0.20

Output
Its relative energy among the computed polymorphs is 149 meV per atom. The density of states at the Fermi level comes out at 4.50 states/eV per cell.

=====

2.
Material: LaNd2Co
Method: DFT, PBE
State: optimized geometry

Cell: 3.531 3.531 9.326 Å, 90.00 90.00 90.00°
Each line ends with the local moment (μB).
Element x y z (fractional)
Co1 0.500 0.500 0.000  1.02
Nd1 0.000 0.000 0.822  -0.07
Nd2 0.000 0.000 0.178  -0.07
La1 0.500 0.500 0.500  0.06

Output
Its relative energy among the computed polymorphs is 136 meV per atom. The density of states at the Fermi level comes out at 4.33 states/eV per cell.

=====

3.
Material: YNi3Os
Method: DFT, PBE
State: optimized geometry

Cell: 4.504 4.504 4.504 Å, 90.00 90.00 90.00°
Each line ends with the local moment (μB).
Element x y z (fractional)
Y1 0.000 0.000 0.000  -0.09
Ni1 0.000 0.500 0.000  0.14
Ni2 0.000 0.000 0.500  0.05
Ni3 0.500 0.000 0.000  0.39
Os1 0.500 0.500 0.500  1.89

Output
Its relative energy among the computed polymorphs is 1365 meV per atom. The density of states at the Fermi level comes out at 5.78 states/eV per cell.

=====

4.
Material: Dy7ErTm4
Method: DFT, PBE
State: optimized geometry

Cell: 7.090 9.370 8.723 Å, 81.10 90.01 40.94°
Element x y z (fractional)
Dy1 0.751 0.500 0.000
Dy2 0.249 0.500 0.000
Dy3 0.972 0.279 0.665
Dy4 0.028 0.721 0.335
Dy5 0.222 0.779 0.666
Dy6 0.500 0.000 0.000
Dy7 0.778 0.221 0.334
Er1 0.000 0.000 0.000
Tm1 0.529 0.722 0.334
Tm2 0.471 0.278 0.666
Tm3 0.721 0.779 0.665
Tm4 0.279 0.221 0.335

Output
Its relative energy among the computed polymorphs is 0 meV per atom. The density of states at the Fermi level comes out at 15.76 states/eV per cell.

=====

5.
Material: Sm2Y4Pu
Method: DFT, PBE
State: optimized geometry

Cell: 12.076 8.529 8.529 Å, 59.92 44.93 44.93°
Each line ends with the local moment (μB).
Element x y z (fractional)
Sm1 0.250 0.500 0.500  -0.52
Sm2 0.750 0.500 0.500  -0.52
Y1 0.500 0.684 0.316  -0.01
Y2 0.184 0.316 0.316  -0.01
Y3 0.816 0.684 0.684  -0.01
Y4 0.500 0.316 0.684  -0.01
Pu1 0.500 0.000 0.000  5.77

Output
Its final energy is -5.33 eV per atom. The density of states at the Fermi level comes out at 11.59 states/eV per cell.

=====

6.
Material: Ce5Pt2Au4
Method: DFT, PBE
State: optimized geometry

Cell: 3.686 7.747 18.062 Å, 90.00 90.00 90.00°
Each line ends with the local moment (μB).
Element x y z (fractional)
Ce1 0.000 0.500 0.000  0.82
Ce2 0.000 0.000 0.500  0.82
Ce3 0.000 0.266 0.212  0.42
Ce4 0.000 0.734 0.788  0.42
Ce5 0.000 0.766 0.288  0.42
Ce6 0.000 0.234 0.712  0.42
Ce7 0.000 0.368 0.424  0.71
Ce8 0.000 0.632 0.576  0.71
Ce9 0.000 0.868 0.076  0.71
Ce10 0.000 0.132 0.924  0.71
Pt1 0.500 0.468 0.305  -0.02
Pt2 0.500 0.532 0.695  -0.02
Pt3 0.500 0.968 0.195  -0.02
Pt4 0.500 0.032 0.805  -0.02
Au1 0.500 0.289 0.568  0.00
Au2 0.500 0.711 0.432  0.00
Au3 0.500 0.789 0.932  0.00
Au4 0.500 0.211 0.068  0.00
Au5 0.500 0.420 0.852  0.01
Au6 0.500 0.580 0.148  0.01
Au7 0.500 0.920 0.648  0.01
Au8 0.500 0.080 0.352  0.01

Output
Its final energy is -5.79 eV per atom. The density of states at the Fermi level comes out at 52.89 states/eV per cell.

=====

7.
Material: KLiSi
Method: DFT, PBE
State: optimized geometry

Cell: 4.969 4.969 4.969 Å, 60.00 60.00 60.00°
Each line ends with the local moment (μB).
Element x y z (fractional)
K1 0.500 0.500 0.500  0.04
Li1 0.750 0.750 0.750  0.06
Si1 0.000 0.000 0.000  0.40

Output
Its relative energy among the computed polymorphs is 626 meV per atom. The density of states at the Fermi level comes out at 1.99 states/eV per cell. Its uncorrected formation energy is 532 meV per atom.

=====

8.
Material: NaZnSnPd2
Method: DFT, PBE
State: optimized geometry

Cell: 4.761 4.666 4.761 Å, 90.00 90.00 90.00°
Element x y z (fractional)
Na1 0.000 0.000 0.000
Zn1 0.000 0.500 0.000
Sn1 0.500 0.500 0.500
Pd1 0.000 0.000 0.500
Pd2 0.500 0.000 0.000

Output
Its final energy is -2.75 eV per atom. The density of states at the Fermi level comes out at 3.64 states/eV per cell.

=====

9.
Material: Dy2InAu
Method: DFT, PBE
State: optimized geometry

Cell: 3.851 3.851 8.925 Å, 77.54 77.54 60.00°
Element x y z (fractional)
In1 0.500 0.500 0.500
Au1 0.000 0.000 0.000
Dy1 0.259 0.259 0.223
Dy2 0.741 0.741 0.777

Output
Its final energy is -4.30 eV per atom. The density of states at the Fermi level comes out at 4.14 states/eV per cell.

=====

10.
Material: Ba2PrAlTe5
Method: DFT, PBE
State: optimized geometry

Cell: 4.560 10.566 14.460 Å, 90.00 90.00 102.46°
Element x y z (fractional)
Ba1 0.878 0.756 0.831
Ba2 0.121 0.242 0.687
Ba3 0.122 0.244 0.331
Ba4 0.879 0.758 0.187
Pr1 0.797 0.594 0.529
Pr2 0.203 0.406 0.029
Al1 0.561 0.121 0.924
Al2 0.439 0.879 0.424
Te1 0.353 0.706 0.010
Te2 0.685 0.370 0.869
Te3 0.500 0.000 0.767
Te4 0.298 0.596 0.679
Te5 0.960 0.919 0.527
Te6 0.647 0.294 0.510
Te7 0.315 0.630 0.369
Te8 0.500 0.000 0.267
Te9 0.702 0.404 0.179
Te10 0.040 0.081 0.027

Output
Its uncorrected formation energy is -1343 meV per atom.

=====

11.
Material: BaScMn
Method: DFT, PBE
State: optimized geometry

Cell: 3.533 3.533 7.978 Å, 90.00 90.00 120.00°
Each line ends with the local moment (μB).
Element x y z (fractional)
Ba1 0.000 0.000 0.024  -0.03
Mn1 0.667 0.333 0.364  3.68
Sc1 0.333 0.667 0.612  -0.35

Output
Its relative energy among the computed polymorphs is 187 meV per atom. The density of states at the Fermi level comes out at 2.98 states/eV per cell.

=====

12.
Material: AsIr3
Method: DFT, PBE
State: optimized geometry

Cell: 2.814 4.471 4.786 Å, 90.00 90.00 90.00°
Element x y z (fractional)
As1 0.000 0.000 0.995
Ir1 0.500 0.000 0.481
Ir2 0.500 0.500 0.837
Ir3 0.000 0.500 0.353

Output
Its relative energy among the computed polymorphs is 133 meV per atom. The density of states at the Fermi level comes out at 3.38 states/eV per cell.

=====

13.
Material: LaFeRu2
Method: DFT, PBE
State: optimized geometry

Cell: 4.559 4.559 4.559 Å, 60.00 60.00 60.00°
Element x y z (fractional)
Ru1 0.250 0.250 0.250
Ru2 0.750 0.750 0.750
Fe1 0.000 0.000 0.000
La1 0.500 0.500 0.500

Output
Its relative energy among the computed polymorphs is 500 meV per atom. The density of states at the Fermi level comes out at 15.17 states/eV per cell.

=====

14.
Material: La12Si6Bi
Method: DFT, PBE
State: optimized geometry

Cell: 9.080 9.080 9.080 Å, 109.47 109.47 109.47°
Element x y z (fractional)
La1 0.297 0.106 0.809
La2 0.297 0.488 0.191
La3 0.703 0.512 0.809
La4 0.703 0.894 0.191
La5 0.106 0.809 0.297
La6 0.488 0.191 0.297
La7 0.512 0.809 0.703
La8 0.894 0.191 0.703
La9 0.809 0.297 0.106
La10 0.191 0.297 0.488
La11 0.809 0.703 0.512
La12 0.191 0.703 0.894
Si1 0.388 0.500 0.888
Si2 0.612 0.500 0.112
Si3 0.500 0.888 0.388
Si4 0.500 0.112 0.612
Si5 0.888 0.388 0.500
Si6 0.112 0.612 0.500
Bi1 0.000 0.000 0.000

Output
The density of states at the Fermi level comes out at 16.13 states/eV per cell. Its uncorrected formation energy is -580 meV per atom.

=====

15.
Material: AlTlC2S
Method: DFT, PBE
State: optimized geometry

Cell: 3.918 4.931 3.918 Å, 90.00 90.00 90.00°
Element x y z (fractional)
C1 0.000 0.000 0.500
C2 0.500 0.000 0.000
Tl1 0.500 0.500 0.500
S1 0.000 0.000 0.000
Al1 0.000 0.500 0.000

Output
The density of states at the Fermi level comes out at 2.36 states/eV per cell. Its uncorrected formation energy is 1947 meV per atom.

=====

16.
Material: OsRu2Rh6
Method: DFT, PBE
State: optimized geometry

Cell: 2.685 13.283 7.701 Å, 149.59 100.04 90.00°
Element x y z (fractional)
Os1 0.000 0.500 0.000
Ru1 0.178 0.178 0.355
Ru2 0.822 0.822 0.645
Rh1 0.325 0.496 0.649
Rh2 0.675 0.504 0.351
Rh3 0.675 0.847 0.351
Rh4 0.500 0.144 0.000
Rh5 0.500 0.856 0.000
Rh6 0.325 0.153 0.649

Output
Its relative energy among the computed polymorphs is 158 meV per atom. The density of states at the Fermi level comes out at 13.77 states/eV per cell.

=====

17.
Material: In2Ge2Bi
Method: DFT, PBE
State: optimized geometry

Cell: 8.520 8.520 3.511 Å, 90.00 90.00 90.00°
Element x y z (fractional)
Ge1 0.116 0.616 0.500
Ge2 0.616 0.884 0.500
Ge3 0.884 0.384 0.500
Ge4 0.384 0.116 0.500
Bi1 0.000 0.000 0.000
Bi2 0.500 0.500 0.000
In1 0.331 0.831 0.000
In2 0.831 0.669 0.000
In3 0.669 0.169 0.000
In4 0.169 0.331 0.000

Output
Its relative energy among the computed polymorphs is 33 meV per atom. The density of states at the Fermi level comes out at 4.82 states/eV per cell.

=====

18.
Material: CaRh2Au
Method: DFT, PBE
State: optimized geometry

Cell: 3.020 3.020 7.861 Å, 90.00 90.00 90.00°
Each line ends with the local moment (μB).
Element x y z (fractional)
Rh1 0.000 0.000 0.021  0.18
Rh2 0.000 0.000 0.479  0.18
Ca1 0.500 0.500 0.750  -0.01
Au1 0.500 0.500 0.250  0.04

Output
Its final energy is -4.91 eV per atom. The density of states at the Fermi level comes out at 6.11 states/eV per cell.

=====

19.
Material: Nb3GeS6
Method: DFT, PBE
State: optimized geometry

Cell: 5.827 5.827 13.694 Å, 90.00 90.00 120.00°
Element x y z (fractional)
Nb1 0.333 0.667 0.250
Nb2 0.000 0.000 0.250
Nb3 0.000 0.000 0.750
Nb4 0.333 0.667 0.750
Nb5 0.667 0.333 0.750
Nb6 0.667 0.333 0.250
Ge1 0.000 0.000 0.000
Ge2 0.000 0.000 0.500
S1 0.000 0.666 0.635
S2 0.000 0.666 0.865
S3 0.000 0.334 0.135
S4 0.000 0.334 0.365
S5 0.334 0.334 0.635
S6 0.334 0.334 0.865
S7 0.666 0.666 0.135
S8 0.666 0.666 0.365
S9 0.334 0.000 0.135
S10 0.334 0.000 0.365
S11 0.666 0.000 0.635
S12 0.666 0.000 0.865

Output
The density of states at the Fermi level comes out at 8.96 states/eV per cell. Its uncorrected formation energy is -997 meV per atom.

=====

20.
Material: Pm4ThCd
Method: DFT, PBE
State: optimized geometry

Cell: 3.632 3.632 14.525 Å, 90.00 90.00 90.00°
Element x y z (fractional)
Pm1 0.500 0.500 0.170
Pm2 0.000 0.000 0.646
Pm3 0.000 0.000 0.354
Pm4 0.500 0.500 0.830
Th1 0.000 0.000 0.000
Cd1 0.500 0.500 0.500

Output
Its final energy is -4.63 eV per atom. The density of states at the Fermi level comes out at 6.95 states/eV per cell.

=====

21.
Material: NaSbBr6
Method: DFT, PBE
State: optimized geometry

Cell: 7.423 7.281 7.897 Å, 109.53 110.22 105.64°
Element x y z (fractional)
Na1 0.000 0.000 0.000
Sb1 0.500 0.000 0.000
Br1 0.807 0.989 0.280
Br2 0.526 0.709 0.720
Br3 0.474 0.291 0.280
Br4 0.193 0.011 0.720
Br5 0.214 0.698 0.000
Br6 0.786 0.302 0.000

Output
Its relative energy among the computed polymorphs is 0 meV per atom. Its uncorrected formation energy is -663 meV per atom.

=====

22.
Material: CeMgTcH6
Method: DFT, PBE
State: optimized geometry

Cell: 4.696 4.696 4.557 Å, 90.00 90.00 60.00°
Each line ends with the local moment (μB).
Element x y z (fractional)
Ce1 0.000 0.000 0.000  0.79
Mg1 0.667 0.667 0.500  0.00
Tc1 0.333 0.333 0.500  -0.10
H1 0.034 0.482 0.222  0.00
H2 0.482 0.035 0.778  0.00
H3 0.483 0.482 0.778  0.00
H4 0.035 0.483 0.778  0.00
H5 0.482 0.483 0.222  0.00
H6 0.483 0.035 0.222  0.00

Output
Its final energy is -4.52 eV per atom. The density of states at the Fermi level comes out at 5.42 states/eV per cell.

=====

23.
Material: Rb2CoH2Cl6
Method: DFT, PBE
State: optimized geometry

Cell: 7.098 7.217 7.212 Å, 110.99 90.00 119.46°
Each line ends with the local moment (μB).
Element x y z (fractional)
Rb1 0.700 0.400 0.186  0.00
Rb2 0.300 0.600 0.814  0.00
Co1 0.500 0.000 0.500  0.95
H1 0.922 0.844 0.717  0.00
H2 0.078 0.156 0.283  0.00
Cl1 0.816 0.632 0.709  0.00
Cl2 0.223 0.885 0.260  0.00
Cl3 0.337 0.115 0.740  0.00
Cl4 0.777 0.115 0.740  0.00
Cl5 0.663 0.885 0.260  0.00
Cl6 0.184 0.368 0.291  0.00

Output
Its final energy is -3.42 eV per atom. The density of states at the Fermi level comes out at 6.53 states/eV per cell.

=====

24.
Material: TbDy4Er8
Method: DFT, PBE
State: optimized geometry

Cell: 7.222 7.222 9.880 Å, 90.00 111.44 120.00°
Element x y z (fractional)
Tb1 0.000 0.500 0.500
Dy1 0.000 0.000 0.000
Dy2 0.000 0.500 0.000
Dy3 0.500 0.500 0.000
Dy4 0.500 0.000 0.000
Er1 0.566 0.783 0.350
Er2 0.434 0.217 0.650
Er3 0.499 0.250 0.305
Er4 0.945 0.195 0.695
Er5 0.501 0.750 0.695
Er6 0.945 0.750 0.695
Er7 0.055 0.250 0.305
Er8 0.055 0.805 0.305

Output
Its final energy is -4.36 eV per atom. The density of states at the Fermi level comes out at 16.06 states/eV per cell.

=====

| no. | size of the total moment (Bohr magnetons per cell) |
| --- | --- |
| 1 | 5.5 |
| 2 | 0.9 |
| 3 | 2.4 |
| 4 | 0.0 |
| 5 | 2.8 |
| 6 | 7.2 |
| 7 | 1.7 |
| 8 | 0.0 |
| 9 | 0.0 |
| 10 | 0.0 |
| 11 | 3.2 |
| 12 | 0.0 |
| 13 | 0.0 |
| 14 | 0.6 |
| 15 | 0.0 |
| 16 | 0.0 |
| 17 | 0.0 |
| 18 | 0.4 |
| 19 | 0.0 |
| 20 | 0.0 |
| 21 | 0.0 |
| 22 | 0.8 |
| 23 | 1.0 |
| 24 | 0.0 |